! VCuBi2O7, optimized geometry, DFT GGA+U; values from VASP
&SYSTEM
  ibrav = 0, nat = 22, ntyp = 4
/
ATOMIC_SPECIES
V 50.94 V.upf
Cu 63.55 Cu.upf
Bi 208.98 Bi.upf
O 16.00 O.upf
CELL_PARAMETERS angstrom
-5.1761 1.4542 -2.7683
3.3321 -4.8489 -4.1358
-1.6975 -5.6636 5.3577
ATOMIC_POSITIONS crystal
V 0.8791 0.7277 0.0803
V 0.1209 0.2723 0.9197
Cu 0.0000 0.5000 0.5000
Cu 0.0000 0.0000 0.5000
Bi 0.4747 0.8722 0.7038
Bi 0.5253 0.1278 0.2962
Bi 0.5368 0.3841 0.7237
Bi 0.4632 0.6159 0.2763
O 0.7513 0.5018 0.1392
O 0.2487 0.4982 0.8608
O 0.7364 0.8750 0.1497
O 0.2636 0.1250 0.8503
O 0.2014 0.8052 0.1829
O 0.7986 0.1948 0.8171
O 0.7852 0.7057 0.8466
O 0.2148 0.2943 0.1534
O 0.3285 0.5709 0.5230
O 0.6715 0.4291 0.4770
O 0.0569 0.7649 0.5716
O 0.9431 0.2351 0.4284
O 0.3364 0.0949 0.5171
O 0.6636 0.9051 0.4829
! Symmetry: P-1 (2)
! E_tot in eV/atom: -6.181
! ρ in Mg/m³: 6.795


! CuBiWO2, optimized geometry, DFT GGA+U; values from VASP
&SYSTEM
  ibrav = 0, nat = 5, ntyp = 4
/
ATOMIC_SPECIES
O 16.00 O.upf
Cu 63.55 Cu.upf
Bi 208.98 Bi.upf
W 183.84 W.upf
CELL_PARAMETERS angstrom
3.8924 0.0000 0.0000
0.0000 5.6744 0.0000
0.0000 0.0000 3.8924
ATOMIC_POSITIONS crystal
O 0.0000 0.0000 0.5000
O 0.5000 0.0000 0.0000
Cu 0.0000 0.5000 0.0000
Bi 0.5000 0.5000 0.5000
W 0.0000 0.0000 0.0000
! Symmetry: P4/mmm (123)
! E_tot in eV/atom: -5.656
! ρ in Mg/m³: 9.433


! CuBi2WO6, optimized geometry, DFT GGA+U; values from VASP
&SYSTEM
  ibrav = 0, nat = 20, ntyp = 4
/
ATOMIC_SPECIES
Cu 63.55 Cu.upf
Bi 208.98 Bi.upf
W 183.84 W.upf
O 16.00 O.upf
CELL_PARAMETERS angstrom
-5.2366 -0.4674 -2.4597
-1.1239 -4.0588 3.1640
-4.0094 6.0967 6.3966
ATOMIC_POSITIONS crystal
Cu 0.0000 0.5000 0.0000
Cu 0.5000 0.0000 0.5000
Bi 0.0011 0.9784 0.2017
Bi 0.4989 0.4784 0.2983
Bi 0.5011 0.5216 0.7017
Bi 0.9989 0.0216 0.7983
W 0.0000 0.5000 0.5000
W 0.5000 0.0000 0.0000
O 0.8175 0.2935 0.6488
O 0.8075 0.2060 0.0109
O 0.8862 0.2862 0.3560
O 0.6138 0.7862 0.1440
O 0.6925 0.7060 0.4891
O 0.6825 0.7935 0.8512
O 0.3175 0.2065 0.1488
O 0.3075 0.2940 0.5109
O 0.3862 0.2138 0.8560
O 0.1925 0.7940 0.9891
O 0.1138 0.7138 0.6440
O 0.1825 0.7065 0.3512
! Symmetry: P2_1/c (14)
! E_tot in eV/atom: -6.228
! ρ in Mg/m³: 8.530


> What is the formula in the second record?

CuBiWO2


> What is the E_tot in the third record?

-6.228 eV/atom


> E_tot of number 2 (CuBiWO2)?

-5.656 eV/atom


> The highest ρ belongs to which entry?

CuBiWO2